La3BWO9 | PBE+U | relaxed

extended XYZ file:
```
28
Lattice="8.938 0.000 0.000 -4.469 7.740 0.000 0.000 0.000 5.682" Properties=species:S:1:pos:R:3 pbc="T T T"
La -2.527 5.588 0.000
La 0.893 2.758 0.000
La 2.835 0.605 2.841
La 1.634 7.135 0.000
La 3.576 4.982 2.841
La 6.996 2.153 2.841
B 0.000 0.000 0.950
B 0.000 0.000 3.791
W 0.000 5.160 3.073
W 4.469 2.580 0.232
O -3.489 6.762 3.750
O 0.358 1.338 3.750
O -1.114 4.056 4.305
O 1.338 0.359 0.909
O -0.225 3.623 1.928
O -1.218 6.124 1.928
O -0.399 6.677 4.305
O 3.025 2.007 4.769
O 1.513 4.748 4.305
O 2.956 2.993 1.464
O 1.444 5.734 1.928
O 4.868 1.063 1.464
O 5.687 1.617 4.769
O 4.694 4.117 4.769
O 3.131 7.381 3.750
O 5.583 3.684 1.464
O 4.111 6.402 0.909
O 7.958 0.979 0.909
```

Output
The total moment comes out at 0.00 μB/f.u. The calculation puts the total energy at -0.6079 Ry per atom. For the density of states at the Fermi level, the calculation gives 0.00 states/eV per cell. Its volume is 14.04 Å³/atom.